[1]
Compound: Li3Mg
Source: Alexandria
Functional: meta-GGA SCAN
Structure: single point on PBEsol structure

For the total energy, the calculation gives -3.060 eV/atom. For the formation energy, the calculation gives -25 meV/atom. The value obtained for the total magnetization is 0.008 μB/atom.

The space group is Pmmn (No. 59, origin choice 2) and the conventional cell measures 4.974, 6.062 and 5.230 Å, with angles of 90.00, 90.00 and 90.00 degrees. The distinct sites, in fractional coordinates, are Li at (0.250, 0.000, 0.168), Li at (0.250, 0.250, 0.673) and Mg at (0.250, 0.750, 0.668).


[2]
Compound: LiNbCl3
Source: Alexandria
Functional: meta-GGA SCAN
Structure: single point on PBEsol structure

For the total energy, the calculation gives -12.912 eV/atom. The excess energy over the best structure of this formula in the dataset is 0.000 eV/atom. The value obtained for the total magnetization is 0.598 μB/atom.

The space group is Pm-3m (No. 221) and the conventional cell measures 4.893, 4.893 and 4.893 Å, with angles of 90.00, 90.00 and 90.00 degrees. The distinct sites, in fractional coordinates, are Li at (0.000, 0.000, 0.000), Nb at (0.500, 0.500, 0.500) and Cl at (0.000, 0.500, 0.500).


[3]
Compound: CsIn2ClF
Source: Alexandria
Functional: meta-GGA SCAN
Structure: single point on PBEsol structure

For the total energy, the calculation gives -23.973 eV/atom. The value obtained for the total magnetization is 0.000 μB/atom.

The space group is P4/mmm (No. 123) and the conventional cell measures 5.432, 5.432 and 6.719 Å, with angles of 90.00, 90.00 and 90.00 degrees. The distinct sites, in fractional coordinates, are Cs at (0.000, 0.000, 0.000), In at (0.000, 0.500, 0.500), Cl at (0.500, 0.500, 0.500) and F at (0.500, 0.500, 0.000).


[4]
Compound: LaTlTeRu2
Source: Alexandria
Functional: meta-GGA SCAN
Structure: single point on PBEsol structure

For the total energy, the calculation gives -43.791 eV/atom. The value obtained for the total magnetization is 0.410 μB/atom.

The space group is P4/mmm (No. 123) and the conventional cell measures 4.821, 4.821 and 5.826 Å, with angles of 90.00, 90.00 and 90.00 degrees. The distinct sites, in fractional coordinates, are La at (0.000, 0.000, 0.000), Tl at (0.500, 0.500, 0.000), Te at (0.000, 0.000, 0.500) and Ru at (0.000, 0.500, 0.500).


[5]
Compound: ScZnHg
Source: Alexandria
Functional: meta-GGA SCAN
Structure: single point on PBEsol structure

For the total energy, the calculation gives -32.322 eV/atom. For the formation energy, the calculation gives -349 meV/atom. The value obtained for the total magnetization is 0.098 μB/atom.

The space group is I4mm (No. 107) and the conventional cell measures 3.166, 3.166 and 11.111 Å, with angles of 90.00, 90.00 and 90.00 degrees. The distinct sites, in fractional coordinates, are Sc at (0.000, 0.000, 0.000), Zn at (0.000, 0.000, 0.338) and Hg at (0.000, 0.000, 0.681).


[6]
Compound: Mg2ZrMn
Source: Alexandria
Functional: meta-GGA SCAN
Structure: single point on PBEsol structure

For the total energy, the calculation gives -14.647 eV/atom. For the formation energy, the calculation gives 78 meV/atom. The value obtained for the total magnetization is 0.807 μB/atom.

The space group is Fm-3m (No. 225) and the conventional cell measures 6.690, 6.690 and 6.690 Å, with angles of 90.00, 90.00 and 90.00 degrees. The distinct sites, in fractional coordinates, are Mg at (0.250, 0.250, 0.250), Zr at (0.000, 0.000, 0.000) and Mn at (0.000, 0.000, 0.500).


[7]
Compound: Cs2BaAu2
Source: Alexandria
Functional: meta-GGA SCAN
Structure: single point on PBEsol structure

For the total energy, the calculation gives -51.021 eV/atom. For the formation energy, the calculation gives -324 meV/atom. The value obtained for the total magnetization is 0.000 μB/atom.

The space group is I4/mmm (No. 139) and the conventional cell measures 4.932, 4.932 and 15.619 Å, with angles of 90.00, 90.00 and 90.00 degrees. The distinct sites, in fractional coordinates, are Cs at (0.000, 0.500, 0.250), Ba at (0.000, 0.000, 0.000) and Au at (0.000, 0.000, 0.414).


[8]
Compound: Mg2ScMn3S8
Source: Alexandria
Functional: meta-GGA SCAN
Structure: single point on PBEsol structure

For the total energy, the calculation gives -12.460 eV/atom. The value obtained for the total magnetization is 0.857 μB/atom.

The space group is R-3m (No. 166, hexagonal axes) and the conventional cell measures 7.2245, 7.2245 and 17.8659 Å, with angles of 90.00, 90.00 and 120.00 degrees. The distinct sites, in fractional coordinates, are Mg at (0.0000, 0.0000, 0.1252), Sc at (0.0000, 0.0000, 0.5000), Mn at (0.0000, 0.5000, 0.0000), S at (0.0000, 0.0000, 0.2611) and S at (0.0247, 0.5124, 0.2595).